Computed, not measured: a relaxed structure of Sr2Y2Sn2S at the PBE level of DFT.

Summary:
Fermi-level density of states   1.17 states/eV/f.u.
Energy   -5.126 eV/atom
Space group   I4/mmm (139)

a b c (Å): 5.1667 5.1667 9.3832
angles (deg): 105.98 105.98 90.00
Fractional positions:
Y (0.0000, 0.5000, 0.0000)
Y (0.5000, 0.0000, 0.0000)
Sn (0.6233, 0.6233, 0.2465)
Sn (0.3767, 0.3767, 0.7535)
Sr (0.8234, 0.8234, 0.6469)
Sr (0.1766, 0.1766, 0.3531)
S (0.0000, 0.0000, 0.0000)

=====

Computed, not measured: a relaxed structure of SrY4SnS8 at the PBE level of DFT.

Summary:
Energy   -6.391 eV/atom
Space group   R3m (160)

a b c (Å): 8.2160 8.2160 8.2843
angles (deg): 60.27 60.27 60.00
Fractional positions:
Y (0.6229, 0.6229, 0.1313)
Y (0.4960, 0.0027, 0.4987)
Y (0.0027, 0.0027, 0.4987)
Y (0.0027, 0.4960, 0.4987)
S (0.2398, 0.2398, 0.7251)
S (0.7446, 0.7446, 0.2774)
S (0.2398, 0.7954, 0.7251)
S (0.7446, 0.2334, 0.2774)
S (0.2334, 0.7446, 0.2774)
S (0.7574, 0.7574, 0.7279)
S (0.7954, 0.2398, 0.7251)
S (0.2372, 0.2372, 0.2885)
Sr (0.3770, 0.3770, 0.8692)
Sn (0.0069, 0.0069, 0.9794)

=====

Computed, not measured: a relaxed structure of Sr2ZnSnS5 at the PBE level of DFT.

Summary:
Energy   -4.486 eV/atom
Space group   Cmc2_1 (36)

a b c (Å): 3.9453 8.9030 12.5276
angles (deg): 90.00 90.00 102.80
Fractional positions:
Zn (0.5619, 0.1238, 0.9376)
Zn (0.4381, 0.8762, 0.4376)
S (0.4987, 0.9974, 0.7785)
S (0.9333, 0.8666, 0.5422)
S (0.7003, 0.4006, 0.8857)
S (0.5013, 0.0026, 0.2785)
S (0.2752, 0.5505, 0.6687)
S (0.6395, 0.2790, 0.5004)
S (0.7248, 0.4495, 0.1687)
S (0.2997, 0.5994, 0.3857)
S (0.3605, 0.7210, 0.0004)
S (0.0667, 0.1334, 0.0422)
Sr (0.8738, 0.7475, 0.8106)
Sr (0.0994, 0.1988, 0.6743)
Sr (0.9006, 0.8012, 0.1743)
Sr (0.1262, 0.2525, 0.3106)
Sn (0.7830, 0.5659, 0.5260)
Sn (0.2170, 0.4341, 0.0260)

=====

Computed, not measured: a relaxed structure of TaSnS2 at the PBE level of DFT.

Summary:
Fermi-level density of states   1.45 states/eV/f.u.
Energy   -6.778 eV/atom
Space group   R-3m (166)

a b c (Å): 9.1524 9.1524 9.1524
angles (deg): 20.99 20.99 20.99
Fractional positions:
S (0.8920, 0.8920, 0.8920)
S (0.1080, 0.1080, 0.1080)
Ta (0.5000, 0.5000, 0.5000)
Sn (0.0000, 0.0000, 0.0000)